Entry 1:
A plane-wave DFT calculation with PBE was carried out for a relaxed structure of PmNd6Dy12.

Lattice parameters (Å, degrees): 13.3067 13.3067 12.6804 90.00 90.00 120.00
With the nearest neighbours (Å) after each atom.
Space group R-3m (No. 166, hexagonal axes)
Unique sites:
Pm  0.0000  0.0000  0.0000 [3 per cell]  6 Nd 3.46
Nd  0.0383  0.5191  0.6172 [18 per cell]  1 Nd 3.10, 1 Pm 3.46
Dy  0.0000  0.2570  0.5000 [18 per cell]  6 Dy 3.36-3.55, 4 Nd 3.49-3.59
Dy  0.0914  0.1828  0.2645 [18 per cell]  6 Dy 3.36-3.65, 2 Nd 3.72

## Properties
Electronic total energy: -0.3271 Ry per atom
Polymorph energy (0 for the lowest one): 0.0 meV/atom
Energy of formation: 0.2116 eV/atom
Spin magnetization: 0.0 μB per formula unit



Entry 2:
A plane-wave DFT calculation with PBE was carried out for a relaxed structure of Pm7NdDy4.

Lattice parameters (Å, degrees): 12.1223 6.0274 12.7824 90.00 118.02 90.00
With the nearest neighbours (Å) after each atom.
Space group C2/m (No. 12)
Unique sites:
Pm  0.0000  0.0000  0.0000 [2 per cell]  2 Nd 3.01, 2 Pm 3.17
Pm  0.0600  0.5000  0.3277 [4 per cell]  4 Pm 3.32-3.61, 3 Dy 3.68-3.69
Pm  0.1303  0.0000  0.5023 [4 per cell]  2 Pm 3.13-3.34, 3 Dy 3.31-3.51
Pm  0.2099  0.5000  0.9200 [4 per cell]  1 Nd 3.16, 4 Pm 3.17-3.51, 4 Dy 3.29-3.44
Nd  0.0000  0.5000  0.0000 [2 per cell]  4 Pm 3.01-3.16
Dy  0.1370  0.0000  0.7755 [4 per cell]  7 Pm 3.43-3.68, 2 Dy 3.72
Dy  0.2487  0.5000  0.6819 [4 per cell]  5 Pm 3.29-3.69

## Properties
Electronic total energy: -0.3276 Ry per atom
Polymorph energy (0 for the lowest one): 241.1 meV/atom
Energy of formation: 0.2457 eV/atom
Spin magnetization: 0.0 μB per formula unit



Entry 3:
A plane-wave DFT calculation with PBE was carried out for a relaxed structure of Pm3NdDy5.

Lattice parameters (Å, degrees): 20.3587 6.1149 11.5228 90.00 121.78 90.00
With the nearest neighbours (Å) after each atom.
Space group C2/c (No. 15)
Unique sites:
Pm  0.0000  0.0000  0.0000 [4 per cell]  2 Nd 2.94, 2 Dy 3.11
Pm  0.1829  0.2182  0.0368 [8 per cell]  1 Pm 3.28, 4 Dy 3.37-3.56, 1 Nd 3.52
Nd  0.0000  0.0981  0.7500 [4 per cell]  2 Pm 2.94, 2 Dy 2.96-3.15
Dy  0.0000  0.4173  0.2500 [4 per cell]  2 Nd 2.96-3.15
Dy  0.1407  0.3162  0.6416 [8 per cell]  2 Pm 3.11-3.37
Dy  0.1788  0.2059  0.3378 [8 per cell]  5 Dy 3.36-3.75, 2 Pm 3.43-3.51, 1 Nd 3.72

## Properties
Electronic total energy: -0.3207 Ry per atom
Polymorph energy (0 for the lowest one): 53.0 meV/atom
Energy of formation: 0.3072 eV/atom
Spin magnetization: 0.0 μB per formula unit



Entry 4:
A plane-wave DFT calculation with PBE was carried out for a relaxed structure of Pm4Nd5Dy3.

Lattice parameters (Å, degrees): 6.2972 7.2674 8.9123 90.00 90.10 90.15
With the nearest neighbours (Å) after each atom.
Space group P-1 (No. 2)
Unique sites:
Pm  0.1658  0.9999  0.1656 [2 per cell]  4 Pm 3.61-3.64, 5 Nd 3.63-3.65, 3 Dy 3.64
Pm  0.3345  0.2509  0.8334 [2 per cell]  5 Nd 3.61-3.65, 4 Dy 3.63-3.64, 3 Pm 3.64
Nd  0.0018  0.7489  0.5004 [2 per cell]  6 Nd 3.62-3.65, 3 Dy 3.62-3.64, 3 Pm 3.65
Nd  0.1686  0.4996  0.1662 [2 per cell]  5 Pm 3.61-3.65, 4 Dy 3.63-3.64, 3 Nd 3.64
Nd  0.5000  0.0000  0.5000 [1 per cell]  4 Nd 3.62-3.65, 4 Dy 3.63-3.64, 4 Pm 3.64-3.65
Dy  0.3334  0.7497  0.8331 [2 per cell]  5 Nd 3.62-3.64, 6 Pm 3.63-3.64, 1 Dy 3.64
Dy  0.5000  0.5000  0.5000 [1 per cell]  8 Nd 3.63-3.64, 2 Pm 3.63, 2 Dy 3.64

## Properties
Electronic total energy: -0.3460 Ry per atom
Polymorph energy (0 for the lowest one): 0.0 meV/atom
Energy of formation: 0.0131 eV/atom
Spin magnetization: 0.0 μB per formula unit



Entry 5:
A plane-wave DFT calculation with PBE was carried out for a relaxed structure of Pm8Nd6Dy.

Lattice parameters (Å, degrees): 9.5529 9.5529 6.6907 90.00 90.00 120.00
With the nearest neighbours (Å) after each atom.
Space group P-3 (No. 147)
Unique sites:
Pm  0.0291  0.2806  0.1640 [6 per cell]  4 Nd 3.33-3.61, 3 Pm 3.37-3.38, 1 Dy 3.40
Pm  0.3333  0.6667  0.1118 [2 per cell]  3 Pm 3.38
Nd  0.0846  0.4323  0.6609 [6 per cell]  1 Nd 3.32, 4 Pm 3.33-3.61
Dy  0.0000  0.0000  0.5000 [1 per cell]  6 Pm 3.40

## Properties
Electronic total energy: -0.3370 Ry per atom
Polymorph energy (0 for the lowest one): 4.7 meV/atom
Energy of formation: 0.1620 eV/atom
Spin magnetization: 0.0 μB per formula unit



Entry 6:
A plane-wave DFT calculation with PBE was carried out for a relaxed structure of Pm4Nd19Dy6.

Lattice parameters (Å, degrees): 12.7373 12.7373 12.7373 90.00 90.00 90.00
With the nearest neighbours (Å) after each atom.
Space group I23 (No. 197)
Unique sites:
Pm  0.1822  0.1822  0.1822 [8 per cell]  9 Nd 3.38-3.49
Nd  0.0000  0.0000  0.0000 [2 per cell]  6 Nd 3.30
Nd  0.0000  0.0000  0.2591 [12 per cell]  5 Nd 3.30-3.67, 2 Pm 3.43, 2 Dy 3.45
Nd  0.0604  0.2818  0.7374 [24 per cell]  1 Dy 3.23, 2 Pm 3.38-3.49, 1 Nd 3.44
Dy  0.0000  0.1238  0.5000 [12 per cell]  1 Dy 3.15, 4 Nd 3.23-3.45

## Properties
Electronic total energy: -0.3213 Ry per atom
Energy of formation: 0.3595 eV/atom
Spin magnetization: 0.0 μB per formula unit



Entry 7:
A plane-wave DFT calculation with PBE was carried out for a relaxed structure of PmNd6Dy3.

Lattice parameters (Å, degrees): 9.8485 21.4949 6.4964 90.00 90.00 90.00
With the nearest neighbours (Å) after each atom.
Space group Cmc2_1 (No. 36)
Unique sites:
Pm  0.0000  0.1566  0.0000 [4 per cell]  4 Nd 3.35-3.67, 2 Dy 3.57
Nd  0.0000  0.0147  0.7882 [4 per cell]  2 Nd 3.31, 1 Pm 3.35, 4 Dy 3.56-3.67
Nd  0.0000  0.3004  0.7925 [4 per cell]  1 Dy 3.19, 1 Pm 3.37, 2 Nd 3.56
Nd  0.1741  0.2816  0.3160 [8 per cell]  3 Dy 3.34-3.74, 3 Nd 3.43-3.66, 1 Pm 3.67
Nd  0.1792  0.4404  0.5653 [8 per cell]  3 Dy 3.39-3.61, 4 Nd 3.53-3.79
Dy  0.0000  0.4194  0.0851 [4 per cell]  3 Nd 3.19-3.49, 2 Dy 3.49
Dy  0.1678  0.1268  0.4764 [8 per cell]  2 Dy 3.31-3.49, 5 Nd 3.34-3.67, 1 Pm 3.57

## Properties
Electronic total energy: -0.3375 Ry per atom
Polymorph energy (0 for the lowest one): 0.0 meV/atom
Energy of formation: 0.1240 eV/atom
Spin magnetization: 0.0 μB per formula unit



Entry 8:
A plane-wave DFT calculation with PBE was carried out for a relaxed structure of Pm5NdDy6.

Lattice parameters (Å, degrees): 5.1004 10.1291 15.2881 90.00 90.00 90.00
With the nearest neighbours (Å) after each atom.
Space group Immm (No. 71)
Unique sites:
Pm  0.0000  0.0000  0.0000 [2 per cell]  8 Dy 3.59, 4 Pm 3.60
Pm  0.0000  0.0000  0.3331 [4 per cell]  8 Dy 3.59-3.60, 2 Pm 3.60, 2 Nd 3.61
Pm  0.0000  0.5000  0.3334 [4 per cell]  8 Dy 3.59, 4 Pm 3.60
Nd  0.0000  0.5000  0.0000 [2 per cell]  8 Dy 3.59-3.60, 4 Pm 3.61
Dy  0.0000  0.2498  0.1668 [8 per cell]  7 Pm 3.59-3.60, 1 Nd 3.59, 4 Dy 3.60-3.61
Dy  0.0000  0.2504  0.5000 [4 per cell]  6 Pm 3.59-3.60, 2 Nd 3.60, 4 Dy 3.61

## Properties
Electronic total energy: -0.3427 Ry per atom
Energy of formation: 0.0149 eV/atom
Spin magnetization: 0.0 μB per formula unit



Which formula does entry 3 have?
Pm3NdDy5



energy of formation of number 3 (Pm3NdDy5)?
0.3072 eV/atom



Please write out number 3 again, unchanged.
A plane-wave DFT calculation with PBE was carried out for a relaxed structure of Pm3NdDy5.

Lattice parameters (Å, degrees): 20.3587 6.1149 11.5228 90.00 121.78 90.00
With the nearest neighbours (Å) after each atom.
Space group C2/c (No. 15)
Unique sites:
Pm  0.0000  0.0000  0.0000 [4 per cell]  2 Nd 2.94, 2 Dy 3.11
Pm  0.1829  0.2182  0.0368 [8 per cell]  1 Pm 3.28, 4 Dy 3.37-3.56, 1 Nd 3.52
Nd  0.0000  0.0981  0.7500 [4 per cell]  2 Pm 2.94, 2 Dy 2.96-3.15
Dy  0.0000  0.4173  0.2500 [4 per cell]  2 Nd 2.96-3.15
Dy  0.1407  0.3162  0.6416 [8 per cell]  2 Pm 3.11-3.37
Dy  0.1788  0.2059  0.3378 [8 per cell]  5 Dy 3.36-3.75, 2 Pm 3.43-3.51, 1 Nd 3.72

## Properties
Electronic total energy: -0.3207 Ry per atom
Polymorph energy (0 for the lowest one): 53.0 meV/atom
Energy of formation: 0.3072 eV/atom
Spin magnetization: 0.0 μB per formula unit



Please write out number 2 again, unchanged.
A plane-wave DFT calculation with PBE was carried out for a relaxed structure of Pm7NdDy4.

Lattice parameters (Å, degrees): 12.1223 6.0274 12.7824 90.00 118.02 90.00
With the nearest neighbours (Å) after each atom.
Space group C2/m (No. 12)
Unique sites:
Pm  0.0000  0.0000  0.0000 [2 per cell]  2 Nd 3.01, 2 Pm 3.17
Pm  0.0600  0.5000  0.3277 [4 per cell]  4 Pm 3.32-3.61, 3 Dy 3.68-3.69
Pm  0.1303  0.0000  0.5023 [4 per cell]  2 Pm 3.13-3.34, 3 Dy 3.31-3.51
Pm  0.2099  0.5000  0.9200 [4 per cell]  1 Nd 3.16, 4 Pm 3.17-3.51, 4 Dy 3.29-3.44
Nd  0.0000  0.5000  0.0000 [2 per cell]  4 Pm 3.01-3.16
Dy  0.1370  0.0000  0.7755 [4 per cell]  7 Pm 3.43-3.68, 2 Dy 3.72
Dy  0.2487  0.5000  0.6819 [4 per cell]  5 Pm 3.29-3.69

## Properties
Electronic total energy: -0.3276 Ry per atom
Polymorph energy (0 for the lowest one): 241.1 meV/atom
Energy of formation: 0.2457 eV/atom
Spin magnetization: 0.0 μB per formula unit